(1)
This record from Alexandria via LeMat-Bulk describes a relaxed structure of LaTbPr6Er2. The functional is PBE.

Results
Energy of formation from the pure elements (eV per atom): 0.11

Structure (CIF):
```
data_LaTbPr6Er2
_chemical_formula_sum 'La2 Tb2 Pr12 Er4'
_symmetry_space_group_name_H-M 'P 1'
_symmetry_Int_Tables_number 1
_cell_length_a 9.849
_cell_length_b 9.007
_cell_length_c 9.007
_cell_angle_alpha 117.34
_cell_angle_beta 94.31
_cell_angle_gamma 94.31
loop_
_symmetry_equiv_pos_as_xyz
'x,y,z'
loop_
_atom_site_label
_atom_site_fract_x
_atom_site_fract_y
_atom_site_fract_z
La1 0.250 0.406 0.594
La2 0.750 0.594 0.406
Tb1 0.250 0.969 0.031
Tb2 0.750 0.031 0.969
Pr1 0.055 0.108 0.760
Pr2 0.445 0.240 0.892
Pr3 0.945 0.892 0.240
Pr4 0.555 0.760 0.108
Pr5 0.317 0.984 0.434
Pr6 0.183 0.566 0.016
Pr7 0.683 0.016 0.566
Pr8 0.817 0.434 0.984
Pr9 0.121 0.704 0.490
Pr10 0.379 0.510 0.296
Pr11 0.879 0.296 0.510
Pr12 0.621 0.490 0.704
Er1 0.453 0.805 0.711
Er2 0.047 0.289 0.195
Er3 0.547 0.195 0.289
Er4 0.953 0.711 0.805
```

***

(2)
This record from Alexandria via LeMat-Bulk describes a relaxed structure of La2Tb3PrEr6. The functional is PBE.

Results
Energy of formation from the pure elements (eV per atom): 0.02

Structure (CIF):
```
data_La2Tb3PrEr6
_chemical_formula_sum 'La2 Tb3 Pr1 Er6'
_symmetry_space_group_name_H-M 'P 1'
_symmetry_Int_Tables_number 1
_cell_length_a 6.211
_cell_length_b 6.211
_cell_length_c 11.778
_cell_angle_alpha 95.03
_cell_angle_beta 95.03
_cell_angle_gamma 119.98
loop_
_symmetry_equiv_pos_as_xyz
'x,y,z'
loop_
_atom_site_label
_atom_site_fract_x
_atom_site_fract_y
_atom_site_fract_z
La1 0.333 0.667 0.000
La2 0.667 0.333 0.000
Tb1 0.167 0.833 0.500
Tb2 0.833 0.167 0.500
Tb3 0.500 0.500 0.500
Pr1 0.000 0.000 0.000
Er1 0.914 0.581 0.745
Er2 0.753 0.753 0.255
Er3 0.086 0.419 0.255
Er4 0.581 0.914 0.745
Er5 0.247 0.247 0.745
Er6 0.419 0.086 0.255
```

***

(3)
This record from Alexandria via LeMat-Bulk describes a relaxed structure of LaTb5PrEr2. The functional is PBE.

Results
Energy of formation from the pure elements (eV per atom): 0.28

Structure (CIF):
```
data_LaTb5PrEr2
_chemical_formula_sum 'La2 Tb10 Pr2 Er4'
_symmetry_space_group_name_H-M 'P 1'
_symmetry_Int_Tables_number 1
_cell_length_a 8.691
_cell_length_b 8.691
_cell_length_c 10.029
_cell_angle_alpha 115.67
_cell_angle_beta 115.67
_cell_angle_gamma 90.00
loop_
_symmetry_equiv_pos_as_xyz
'x,y,z'
loop_
_atom_site_label
_atom_site_fract_x
_atom_site_fract_y
_atom_site_fract_z
La1 0.250 0.250 0.500
La2 0.750 0.750 0.500
Tb1 0.934 0.434 0.263
Tb2 0.670 0.170 0.737
Tb3 0.066 0.566 0.737
Tb4 0.170 0.066 0.737
Tb5 0.566 0.670 0.737
Tb6 0.830 0.934 0.263
Tb7 0.434 0.330 0.263
Tb8 0.330 0.830 0.263
Tb9 0.500 0.500 0.000
Tb10 0.000 0.000 0.000
Pr1 0.250 0.750 0.500
Pr2 0.750 0.250 0.500
Er1 0.119 0.381 0.000
Er2 0.619 0.119 0.000
Er3 0.381 0.881 0.000
Er4 0.881 0.619 0.000
```